(1)
First-principles (PBE) data for a relaxed structure of TcAg3, as listed in Alexandria.

Calculated values
Excess energy over the best structure of this formula in the dataset: 0.79 eV per formula unit
Symmetry: No. 10
Formation energy: 508.9 meV/atom
M_tot: 0.000 μB/atom

abc: 6.174 4.762 7.893
angles: 90.00 163.00 90.00
Fractional positions:
Ag 0.750 0.500 0.000
Ag 0.445 0.000 0.949
Ag 0.055 0.000 0.051
Tc 0.250 0.500 0.000


(2)
First-principles (PBE) data for a relaxed structure of Tm3Zr2Cu3, as listed in Alexandria.

Calculated values
Symmetry: No. 71
Formation energy: -179.5 meV/atom
M_tot: 0.000 μB/atom

abc: 3.350 4.905 10.611
angles: 103.36 99.08 90.00
Fractional positions:
Cu 0.119 0.119 0.238
Cu 0.000 0.500 0.000
Cu 0.881 0.881 0.762
Tm 0.621 0.621 0.241
Tm 0.500 0.000 0.000
Tm 0.379 0.379 0.759
Zr 0.731 0.231 0.461
Zr 0.269 0.769 0.539


(3)
First-principles (PBE) data for a relaxed structure of Y3VSb, as listed in Alexandria.

Calculated values
Excess energy over the best structure of this formula in the dataset: 0.00 eV per formula unit
Symmetry: No. 221
Formation energy without anion corrections: 1.1 eV/f.u.
M_tot: 0.000 μB/atom

abc: 5.206 5.206 5.206
angles: 90.00 90.00 90.00
Fractional positions:
Y 0.000 0.000 0.500
Y 0.000 0.500 0.000
Y 0.500 0.000 0.000
V 0.000 0.000 0.000
Sb 0.500 0.500 0.500